Entry from Alexandria via LeMat-Bulk: a relaxed structure of TmMg14Sc (PBE-GGA).

Summary:
The space-group type is P4/mmm, No. 123. The value obtained for the formation energy is -0.011 eV per atom. As for the total energy: -33.3 eV for the cell shown. For the mass density, the calculation gives 2.5 g/cm3.

a = 6.8917 Å, b = 6.8917 Å, c = 7.8345 Å
α = 90.00°, β = 90.00°, γ = 90.01°
Closest atoms and distances in Å follow each position.
Element x y z (fractional)
Mg  0.3750  0.8750  0.0000  12 Mg 3.10-3.45
Mg  0.8750  0.8750  0.0000  8 Mg 3.07
Mg  0.3750  0.8750  0.5000  8 Mg 3.15, 2 Tm 3.45, 2 Sc 3.45
Mg  0.1210  0.1210  0.2447  8 Mg 3.07-3.39, 1 Sc 3.12, 1 Tm 3.18
Mg  0.6290  0.6290  0.2447  8 Mg 3.07-3.39, 1 Sc 3.12, 1 Tm 3.18
Mg  0.1210  0.1210  0.7553  8 Mg 3.07-3.39, 1 Sc 3.12, 1 Tm 3.18
Sc  0.8750  0.8750  0.5000  12 Mg 3.12-3.45
Mg  0.6290  0.1210  0.2447  8 Mg 3.07-3.39, 1 Sc 3.12, 1 Tm 3.18
Mg  0.1210  0.6290  0.7553  8 Mg 3.07-3.39, 1 Sc 3.12, 1 Tm 3.18
Mg  0.8750  0.3750  0.0000  12 Mg 3.10-3.45
Mg  0.6290  0.6290  0.7553  8 Mg 3.07-3.39, 1 Sc 3.12, 1 Tm 3.18
Mg  0.3750  0.3750  0.0000  12 Mg 3.13-3.45
Mg  0.6290  0.1210  0.7553  8 Mg 3.07-3.39, 1 Sc 3.12, 1 Tm 3.18
Mg  0.8750  0.3750  0.5000  8 Mg 3.15, 2 Tm 3.45, 2 Sc 3.45
Tm  0.3750  0.3750  0.5000  12 Mg 3.18-3.45
Mg  0.1210  0.6290  0.2447  8 Mg 3.07-3.39, 1 Sc 3.12, 1 Tm 3.18

---

Entry from Alexandria via LeMat-Bulk: a relaxed structure of TmMg7Sc3 (PBE-GGA).

Summary:
The space-group type is C2/m, No. 12. The value obtained for the formation energy is 0.243 eV per atom. As for the total energy: -32.0 eV for the cell shown. For the mass density, the calculation gives 2.7 g/cm3.

a = 5.8507 Å, b = 8.1708 Å, c = 8.1708 Å
α = 75.42°, β = 121.09°, γ = 121.09°
Closest atoms and distances in Å follow each position.
Element x y z (fractional)
Sc  0.0000  0.8030  0.1970  7 Mg 3.01-3.22
Mg  0.6895  0.4252  0.9529  3 Mg 2.88-3.08, 3 Sc 3.04-3.22
Tm  0.5000  0.5000  0.5000  8 Mg 2.93-3.26
Mg  0.3105  0.0471  0.5748  3 Mg 2.88-3.08, 3 Sc 3.04-3.22
Mg  0.4181  0.2258  0.2258  5 Mg 2.90-3.08, 2 Sc 3.01
Sc  0.0000  0.1970  0.8030  7 Mg 3.01-3.22
Sc  0.5000  0.0000  0.0000  6 Mg 3.04-3.25
Mg  0.3105  0.5748  0.0471  3 Mg 2.88-3.08, 3 Sc 3.04-3.22
Mg  0.6895  0.9529  0.4252  3 Mg 2.88-3.08, 3 Sc 3.04-3.22
Mg  0.0000  0.5000  0.5000  2 Mg 2.90, 2 Tm 2.93, 2 Sc 3.03
Mg  0.5819  0.7742  0.7742  5 Mg 2.90-3.08, 2 Sc 3.01

---

Entry from Alexandria via LeMat-Bulk: a relaxed structure of Tm8MgSc2 (PBE-GGA).

Summary:
The space-group type is C2/m, No. 12. The value obtained for the formation energy is 0.042 eV per atom. As for the total energy: -49.6 eV for the cell shown. For the mass density, the calculation gives 7.8 g/cm3.

a = 5.3945 Å, b = 6.2334 Å, c = 9.7305 Å
α = 85.88°, β = 106.09°, γ = 90.00°
Closest atoms and distances in Å follow each position.
Element x y z (fractional)
Tm  0.0474  0.7362  0.0948  2 Mg 3.25, 7 Tm 3.42-3.62, 1 Sc 3.63
Tm  0.6645  0.8732  0.3290  1 Mg 3.12, 2 Sc 3.30, 4 Tm 3.36-3.40
Tm  0.4186  0.5929  0.8371  1 Mg 3.06, 6 Tm 3.18-3.42, 1 Sc 3.30
Tm  0.3355  0.1268  0.6710  1 Mg 3.12, 2 Sc 3.30, 4 Tm 3.36-3.40
Tm  0.8452  0.8043  0.6903  6 Tm 3.26-3.62, 4 Sc 3.42-3.61
Sc  0.7580  0.3414  0.5160  10 Tm 3.30-3.63, 2 Sc 3.34
Mg  0.5000  0.0000  0.0000  8 Tm 3.06-3.25
Tm  0.1548  0.1957  0.3097  6 Tm 3.26-3.62, 4 Sc 3.42-3.61
Tm  0.5814  0.4071  0.1629  1 Mg 3.06, 6 Tm 3.18-3.42, 1 Sc 3.30
Sc  0.2420  0.6586  0.4840  10 Tm 3.30-3.63, 2 Sc 3.34
Tm  0.9526  0.2638  0.9052  2 Mg 3.25, 7 Tm 3.42-3.62, 1 Sc 3.63

---

Entry from Alexandria via LeMat-Bulk: a relaxed structure of Tm3Mg4Sc (PBE-GGA).

Summary:
The space-group type is Immm, No. 71. The value obtained for the formation energy is 0.096 eV per atom. As for the total energy: -25.4 eV for the cell shown. For the mass density, the calculation gives 5.0 g/cm3.

a = 3.2245 Å, b = 6.2524 Å, c = 11.2573 Å
α = 106.12°, β = 98.23°, γ = 90.00°
Closest atoms and distances in Å follow each position.
Element x y z (fractional)
Tm  0.7622  0.7622  0.5243  6 Tm 3.22-3.56, 6 Mg 3.34
Tm  0.2378  0.2378  0.4757  6 Tm 3.22-3.56, 6 Mg 3.34
Mg  0.3765  0.6208  0.7529  4 Mg 3.06-3.22, 1 Sc 3.09, 3 Tm 3.34
Mg  0.6235  0.8679  0.2471  4 Mg 3.06-3.22, 1 Sc 3.09, 3 Tm 3.34
Mg  0.6235  0.3792  0.2471  4 Mg 3.06-3.22, 1 Sc 3.09, 3 Tm 3.34
Sc  0.5000  0.0000  0.0000  4 Mg 3.09, 2 Sc 3.22
Tm  0.0000  0.5000  0.0000  2 Tm 3.22, 8 Mg 3.45, 4 Sc 3.52
Mg  0.3765  0.1321  0.7529  4 Mg 3.06-3.22, 1 Sc 3.09, 3 Tm 3.34

---

Entry from Alexandria via LeMat-Bulk: a relaxed structure of Tm3MgSc4 (PBE-GGA).

Summary:
The space-group type is Imm2, No. 44. The value obtained for the formation energy is 0.388 eV per atom. As for the total energy: -37.2 eV for the cell shown. For the mass density, the calculation gives 5.2 g/cm3.

a = 7.0014 Å, b = 7.0014 Å, c = 7.0014 Å
α = 109.02°, β = 90.28°, γ = 132.01°
Closest atoms and distances in Å follow each position.
Element x y z (fractional)
Sc  0.2720  0.6725  0.9445  3 Sc 2.80-3.00, 1 Mg 2.95
Sc  0.2720  0.3275  0.5995  3 Sc 2.80-3.00, 1 Mg 2.95
Mg  0.0090  0.5000  0.5090  4 Sc 2.95
Tm  0.5834  0.7993  0.3827  5 Sc 3.24-3.41, 1 Tm 3.26, 2 Mg 3.36
Tm  0.5834  0.2007  0.7841  5 Sc 3.24-3.41, 1 Tm 3.26, 2 Mg 3.36
Sc  0.4919  0.2414  0.2504  4 Sc 2.75-3.00, 1 Mg 2.95
Sc  0.0090  0.7586  0.2504  4 Sc 2.75-3.00, 1 Mg 2.95
Tm  0.9303  0.0000  0.9303  6 Sc 3.45-3.54, 2 Tm 3.80

---

Entry from Alexandria via LeMat-Bulk: a relaxed structure of TmMg2Sc10 (PBE-GGA).

Summary:
The space-group type is Fmmm, No. 69. The value obtained for the formation energy is 0.179 eV per atom. As for the total energy: -68.6 eV for the cell shown. For the mass density, the calculation gives 3.3 g/cm3.

a = 5.9324 Å, b = 8.5303 Å, c = 7.6554 Å
α = 82.26°, β = 67.20°, γ = 69.65°
Closest atoms and distances in Å follow each position.
Element x y z (fractional)
Mg  0.5000  0.5000  0.0000  2 Mg 2.97, 8 Sc 3.14-3.16
Sc  0.7106  0.7907  0.7881  7 Sc 2.99-3.35, 2 Mg 3.14
Mg  0.0000  0.5000  0.0000  2 Mg 2.97, 8 Sc 3.14-3.16
Tm  0.0000  0.0000  0.0000  16 Sc 3.72-3.83
Sc  0.0000  0.0000  0.5000  10 Sc 2.97-3.30
Sc  0.9953  0.6544  0.3550  2 Mg 3.16, 6 Sc 3.21-3.32
Sc  0.6497  0.3456  0.3550  2 Mg 3.16, 6 Sc 3.21-3.32
Sc  0.2894  0.2093  0.2119  7 Sc 2.99-3.35, 2 Mg 3.14
Sc  0.5013  0.2093  0.7881  7 Sc 2.99-3.35, 2 Mg 3.14
Sc  0.3503  0.6544  0.6450  2 Mg 3.16, 6 Sc 3.21-3.32
Sc  0.4987  0.7907  0.2119  7 Sc 2.99-3.35, 2 Mg 3.14
Sc  0.0047  0.3456  0.6450  2 Mg 3.16, 6 Sc 3.21-3.32
Sc  0.5000  0.0000  0.5000  10 Sc 2.97-3.30

---

Entry from Alexandria via LeMat-Bulk: a relaxed structure of Tm3Mg6Sc (PBE-GGA).

Summary:
The space-group type is P2_1/m, No. 11. The value obtained for the formation energy is -0.043 eV per atom. As for the total energy: -59.5 eV for the cell shown. For the mass density, the calculation gives 4.6 g/cm3.

a = 5.1714 Å, b = 9.1102 Å, c = 11.0260 Å
α = 105.21°, β = 90.00°, γ = 90.00°
Closest atoms and distances in Å follow each position.
Element x y z (fractional)
Tm  0.7500  0.4546  0.6001  8 Mg 3.19-3.31
Mg  0.7500  0.3324  0.2936  1 Sc 3.12, 2 Mg 3.14, 5 Tm 3.21-3.27
Mg  0.2500  0.8632  0.3091  3 Sc 3.08-3.11, 2 Mg 3.16-3.43, 4 Tm 3.21-3.30
Tm  0.7500  0.2514  0.9920  8 Mg 3.16-3.26
Mg  0.7500  0.1368  0.6909  3 Sc 3.08-3.11, 2 Mg 3.16-3.43, 4 Tm 3.21-3.30
Mg  0.2500  0.2334  0.4885  3 Sc 3.10-3.11, 2 Mg 3.15-3.43, 4 Tm 3.24-3.31
Sc  0.2500  0.9519  0.5981  8 Mg 3.08-3.15
Mg  0.7500  0.8547  0.8071  8 Mg 3.12-3.18
Mg  0.7500  0.9554  0.1058  3 Mg 3.12-3.18, 1 Sc 3.15, 4 Tm 3.21-3.27
Tm  0.2500  0.7486  0.0080  8 Mg 3.16-3.26
Mg  0.2500  0.6676  0.7064  1 Sc 3.12, 2 Mg 3.14, 5 Tm 3.21-3.27
Mg  0.2500  0.0446  0.8942  3 Mg 3.12-3.18, 1 Sc 3.15, 4 Tm 3.21-3.27
Tm  0.2500  0.3515  0.7935  8 Mg 3.24-3.27
Mg  0.7500  0.5588  0.9000  1 Mg 3.12, 7 Tm 3.16-3.26
Mg  0.2500  0.4412  0.1000  1 Mg 3.12, 7 Tm 3.16-3.26
Sc  0.7500  0.0481  0.4019  8 Mg 3.08-3.15
Tm  0.2500  0.5454  0.3999  8 Mg 3.19-3.31
Mg  0.2500  0.1453  0.1929  8 Mg 3.12-3.18
Tm  0.7500  0.6485  0.2065  8 Mg 3.24-3.27
Mg  0.7500  0.7666  0.5115  3 Sc 3.10-3.11, 2 Mg 3.15-3.43, 4 Tm 3.24-3.31

---

Entry from Alexandria via LeMat-Bulk: a relaxed structure of TmMg4Sc3 (PBE-GGA).

Summary:
The space-group type is Pmma, No. 51. The value obtained for the formation energy is -0.041 eV per atom. As for the total energy: -60.4 eV for the cell shown. For the mass density, the calculation gives 3.5 g/cm3.

a = 5.1454 Å, b = 7.2552 Å, c = 10.2903 Å
α = 90.00°, β = 90.00°, γ = 90.00°
Closest atoms and distances in Å follow each position.
Element x y z (fractional)
Mg  0.5000  0.7577  0.0000  6 Sc 3.12-3.18, 2 Tm 3.18
Mg  0.9959  0.7578  0.2500  6 Sc 3.11-3.18, 2 Tm 3.18
Sc  0.4962  0.0000  0.2500  8 Mg 3.11-3.12
Mg  0.5000  0.7577  0.5000  6 Sc 3.12-3.18, 2 Tm 3.18
Sc  0.0000  0.0000  0.5000  8 Mg 3.12
Mg  0.0041  0.2422  0.7500  6 Sc 3.11-3.18, 2 Tm 3.18
Mg  0.0041  0.7578  0.7500  6 Sc 3.11-3.18, 2 Tm 3.18
Mg  0.9959  0.2422  0.2500  6 Sc 3.11-3.18, 2 Tm 3.18
Sc  0.5035  0.5000  0.7500  8 Mg 3.18
Tm  0.0000  0.5000  0.5000  8 Mg 3.18
Sc  0.4965  0.5000  0.2500  8 Mg 3.18
Sc  0.0000  0.0000  0.0000  8 Mg 3.12
Mg  0.5000  0.2423  0.0000  6 Sc 3.12-3.18, 2 Tm 3.18
Sc  0.5038  0.0000  0.7500  8 Mg 3.11-3.12
Mg  0.5000  0.2423  0.5000  6 Sc 3.12-3.18, 2 Tm 3.18
Tm  0.0000  0.5000  0.0000  8 Mg 3.18

---

Entry from Alexandria via LeMat-Bulk: a relaxed structure of TmMg5Sc2 (PBE-GGA).

Summary:
The space-group type is I4/mcm, No. 140. The value obtained for the formation energy is 0.099 eV per atom. As for the total energy: -48.6 eV for the cell shown. For the mass density, the calculation gives 3.2 g/cm3.

a = 8.0408 Å, b = 8.0408 Å, c = 8.3178 Å
α = 118.90°, β = 118.90°, γ = 90.00°
Closest atoms and distances in Å follow each position.
Element x y z (fractional)
Mg  0.6917  0.1917  0.6708  3 Sc 3.05-3.12, 4 Mg 3.11-3.27, 2 Tm 3.26
Tm  0.7500  0.7500  0.5000  10 Mg 3.04-3.26
Mg  0.8083  0.0209  0.3292  3 Sc 3.05-3.12, 4 Mg 3.11-3.27, 2 Tm 3.26
Mg  0.4791  0.6917  0.6708  3 Sc 3.05-3.12, 4 Mg 3.11-3.27, 2 Tm 3.26
Mg  0.5000  0.5000  0.0000  2 Tm 3.04, 4 Sc 3.05
Sc  0.6537  0.1537  0.0000  8 Mg 3.05-3.12
Mg  0.5209  0.3083  0.3292  3 Sc 3.05-3.12, 4 Mg 3.11-3.27, 2 Tm 3.26
Mg  0.1917  0.9791  0.6708  3 Sc 3.05-3.12, 4 Mg 3.11-3.27, 2 Tm 3.26
Mg  0.9791  0.4791  0.6708  3 Sc 3.05-3.12, 4 Mg 3.11-3.27, 2 Tm 3.26
Mg  0.0209  0.5209  0.3292  3 Sc 3.05-3.12, 4 Mg 3.11-3.27, 2 Tm 3.26
Mg  0.3083  0.8083  0.3292  3 Sc 3.05-3.12, 4 Mg 3.11-3.27, 2 Tm 3.26
Sc  0.1537  0.3463  0.0000  8 Mg 3.05-3.12
Sc  0.3463  0.8463  0.0000  8 Mg 3.05-3.12
Tm  0.2500  0.2500  0.5000  10 Mg 3.04-3.26
Mg  0.0000  0.0000  0.0000  2 Tm 3.04, 4 Sc 3.05
Sc  0.8463  0.6537  0.0000  8 Mg 3.05-3.12

---

Entry from Alexandria via LeMat-Bulk: a relaxed structure of Tm2MgSc2 (PBE-GGA).

Summary:
The space-group type is I4/mmm, No. 139. The value obtained for the formation energy is 0.321 eV per atom. As for the total energy: -21.6 eV for the cell shown. For the mass density, the calculation gives 5.3 g/cm3.

a = 4.0288 Å, b = 4.0288 Å, c = 9.2217 Å
α = 102.62°, β = 102.62°, γ = 90.00°
Closest atoms and distances in Å follow each position.
Element x y z (fractional)
Tm  0.4037  0.4037  0.8075  4 Mg 3.31, 4 Sc 3.37, 1 Tm 3.38
Sc  0.2500  0.7500  0.5000  4 Sc 2.85
Sc  0.7500  0.2500  0.5000  4 Sc 2.85
Tm  0.5963  0.5963  0.1925  4 Mg 3.31, 4 Sc 3.37, 1 Tm 3.38
Mg  0.0000  0.0000  0.0000  8 Tm 3.31

---

Entry from Alexandria via LeMat-Bulk: a relaxed structure of TmMg2Sc2 (PBE-GGA).

Summary:
The space-group type is P2_1/m, No. 11. The value obtained for the formation energy is -0.034 eV per atom. As for the total energy: -41.0 eV for the cell shown. For the mass density, the calculation gives 4.1 g/cm3.

a = 3.5520 Å, b = 5.2159 Å, c = 13.4672 Å
α = 90.00°, β = 97.56°, γ = 90.00°
Closest atoms and distances in Å follow each position.
Element x y z (fractional)
Mg  0.6401  0.7500  0.2808  4 Sc 3.11-3.15, 4 Tm 3.18
Sc  0.2378  0.7500  0.4756  2 Mg 3.15, 4 Sc 3.22, 4 Tm 3.39-3.43
Sc  0.9551  0.2500  0.9102  8 Mg 3.11-3.16
Mg  0.5511  0.2500  0.1021  6 Sc 3.12-3.16, 2 Tm 3.28
Tm  0.1538  0.2500  0.3084  6 Mg 3.18-3.28, 4 Sc 3.39-3.43, 2 Tm 3.55
Tm  0.8462  0.7500  0.6916  6 Mg 3.18-3.28, 4 Sc 3.39-3.43, 2 Tm 3.55
Mg  0.3599  0.2500  0.7192  4 Sc 3.11-3.15, 4 Tm 3.18
Mg  0.4489  0.7500  0.8979  6 Sc 3.12-3.16, 2 Tm 3.28
Sc  0.7622  0.2500  0.5244  2 Mg 3.15, 4 Sc 3.22, 4 Tm 3.39-3.43
Sc  0.0449  0.7500  0.0898  8 Mg 3.11-3.16

---

Entry from Alexandria via LeMat-Bulk: a relaxed structure of Tm2Mg3Sc (PBE-GGA).

Summary:
The space-group type is P4/mmm, No. 123. The value obtained for the formation energy is -0.049 eV per atom. As for the total energy: -20.4 eV for the cell shown. For the mass density, the calculation gives 5.0 g/cm3.

a = 3.6942 Å, b = 3.6942 Å, c = 11.1538 Å
α = 90.00°, β = 90.00°, γ = 90.00°
Closest atoms and distances in Å follow each position.
Element x y z (fractional)
Mg  0.0000  0.0000  0.3455  4 Sc 3.13, 4 Tm 3.25, 1 Mg 3.45
Tm  0.5000  0.5000  0.8284  8 Mg 3.24-3.25
Mg  0.0000  0.0000  0.0000  8 Tm 3.24
Tm  0.5000  0.5000  0.1716  8 Mg 3.24-3.25
Mg  0.0000  0.0000  0.6545  4 Sc 3.13, 4 Tm 3.25, 1 Mg 3.45
Sc  0.5000  0.5000  0.5000  8 Mg 3.13

---

Q: The highest mass density belongs to which entry?
A: Tm8MgSc2

---

Q: Number 9 is which compound?
A: TmMg5Sc2